a | Entry from Alexandria: K3Cl after structural relaxation (PBEsol).

abc: 4.4749 4.4553 11.8238
angles: 100.45 90.00 120.15
Closest atoms and distances in Å follow each position.
Fractional coordinates of all 4 atoms:
K 0.7167 0.4333 0.1585  3 Cl 3.16
K 0.2833 0.5667 0.8415  3 Cl 3.16
K 0.5000 0.0000 0.5000  12 K 4.46-4.73
Cl 0.0000 0.0000 0.0000  6 K 3.16

***

b | Entry from Alexandria: K3Cl after structural relaxation (PBEsol).

abc: 4.1193 8.5261 11.7667
angles: 90.00 90.00 90.00
Closest atoms and distances in Å follow each position.
Fractional coordinates of all 8 atoms:
Cl 0.0000 0.0000 0.7209  6 K 3.14-3.17
Cl 0.5000 0.5000 0.2791  6 K 3.14-3.17
K 0.5000 0.7573 0.8194  2 Cl 3.14
K 0.5000 0.2427 0.8194  2 Cl 3.14
K 0.0000 0.2573 0.1806  2 Cl 3.14
K 0.5000 0.0000 0.5156  2 Cl 3.17
K 0.0000 0.7427 0.1806  2 Cl 3.14
K 0.0000 0.5000 0.4844  2 Cl 3.17

***

Most stable of them? a.

***

a | Entry from Alexandria: K3Cl after structural relaxation (PBEsol).

abc: 7.2879 7.2879 7.2879
angles: 90.00 90.00 90.00
Closest atoms and distances in Å follow each position.
Fractional coordinates of all 8 atoms:
Cl 0.5000 0.5000 0.5000  12 K 4.07
K 0.0000 0.2500 0.5000  2 K 3.64, 4 Cl 4.07
K 0.2500 0.5000 0.0000  2 K 3.64, 4 Cl 4.07
K 0.0000 0.7500 0.5000  2 K 3.64, 4 Cl 4.07
Cl 0.0000 0.0000 0.0000  12 K 4.07
K 0.5000 0.0000 0.7500  2 K 3.64, 4 Cl 4.07
K 0.7500 0.5000 0.0000  2 K 3.64, 4 Cl 4.07
K 0.5000 0.0000 0.2500  2 K 3.64, 4 Cl 4.07

***

b | Entry from Alexandria: K3Cl after structural relaxation (PBEsol).

abc: 4.3991 4.3991 11.7285
angles: 90.00 90.00 120.00
Closest atoms and distances in Å follow each position.
Fractional coordinates of all 4 atoms:
K 0.3333 0.6667 0.8373  3 Cl 3.18
K 0.0000 0.0000 0.5000  12 K 4.40-4.70
Cl 0.0000 0.0000 0.0000  6 K 3.18
K 0.3333 0.6667 0.1627  3 Cl 3.18

***

Most stable of them? b.

***

a | Entry from Alexandria: KMgCl2 after structural relaxation (PBEsol).

abc: 4.0635 3.9864 8.1287
angles: 90.00 90.00 120.64
Closest atoms and distances in Å follow each position.
Fractional coordinates of all 4 atoms:
Cl 0.0000 0.0000 0.2340  2 Mg 2.78, 2 K 2.97
Cl 0.0000 0.0000 0.7660  2 Mg 2.78, 2 K 2.97
Mg 0.5000 0.0000 0.0000  4 Cl 2.78
K 0.5000 0.0000 0.5000  4 Cl 2.97

***

b | Entry from Alexandria: KMgCl2 after structural relaxation (PBEsol).

abc: 3.5195 5.1747 5.1747
angles: 90.03 89.64 89.64
Closest atoms and distances in Å follow each position.
Fractional coordinates of all 4 atoms:
K 0.5000 0.5000 0.5000  8 Cl 3.12-3.14
Cl 0.0000 0.0000 0.5000  4 Mg 3.12-3.14, 4 K 3.12-3.14
Mg 0.5000 0.0000 0.0000  8 Cl 3.12-3.14
Cl 0.0000 0.5000 0.0000  4 K 3.12-3.14, 4 Mg 3.12-3.14

***

Most stable of them? b.

***

a | Entry from Alexandria: KMgCl2 after structural relaxation (PBEsol).

abc: 5.2411 5.2411 5.2411
angles: 60.00 60.00 60.00
Closest atoms and distances in Å follow each position.
Fractional coordinates of all 4 atoms:
Cl 0.0000 0.0000 0.0000  4 Cl 3.21, 4 Mg 3.21
Mg 0.2500 0.2500 0.2500  4 Cl 3.21, 4 K 3.21
Cl 0.7500 0.7500 0.7500  4 Cl 3.21, 4 K 3.21
K 0.5000 0.5000 0.5000  4 Cl 3.21, 4 Mg 3.21

***

b | Entry from Alexandria: KMgCl2 after structural relaxation (PBEsol).

abc: 3.8416 5.1840 5.1840
angles: 90.00 90.00 90.00
Closest atoms and distances in Å follow each position.
Fractional coordinates of all 4 atoms:
Mg 0.0000 0.5000 0.5000  4 Cl 2.59
Cl 0.0000 0.5000 0.0000  2 Mg 2.59
K 0.5000 0.0000 0.0000  8 Cl 3.23
Cl 0.0000 0.0000 0.5000  2 Mg 2.59

***

Most stable of them? b.

***

a | Entry from Alexandria: K2MoCl after structural relaxation (PBEsol).

abc: 5.8387 5.8387 5.8387
angles: 60.00 60.00 60.00
Closest atoms and distances in Å follow each position.
Fractional coordinates of all 4 atoms:
Cl 0.0000 0.0000 0.0000  8 K 3.58
K 0.2500 0.2500 0.2500  4 Cl 3.58, 4 Mo 3.58
K 0.7500 0.7500 0.7500  4 Mo 3.58, 4 Cl 3.58
Mo 0.5000 0.5000 0.5000  8 K 3.58

***

b | Entry from Alexandria: K2MoCl after structural relaxation (PBEsol).

abc: 3.6638 3.5947 9.7943
angles: 90.00 90.00 90.00
Closest atoms and distances in Å follow each position.
Fractional coordinates of all 4 atoms:
Cl 0.5000 0.5000 0.0251  6 K 3.03-3.04
K 0.0000 0.5000 0.7779  2 Cl 3.04
Mo 0.5000 0.0000 0.5076  4 Mo 3.59-3.66, 6 K 3.61-3.69
K 0.0000 0.0000 0.1894  4 Cl 3.03

***

Most stable of them? b.

***

a | Entry from Alexandria: KMoCl2 after structural relaxation (PBEsol).

abc: 3.9890 3.9890 7.0518
angles: 106.43 106.43 90.00
Closest atoms and distances in Å follow each position.
Fractional coordinates of all 4 atoms:
K 0.5000 0.5000 0.0000  4 Cl 2.82
Mo 0.2500 0.7500 0.5000  4 Cl 2.82
Cl 0.0000 0.0000 0.0000  4 K 2.82
Cl 0.7500 0.2500 0.5000  4 Mo 2.82

***

b | Entry from Alexandria: KMoCl2 after structural relaxation (PBEsol).

abc: 4.6684 4.4876 6.5361
angles: 100.38 90.00 121.34
Closest atoms and distances in Å follow each position.
Fractional coordinates of all 4 atoms:
Cl 0.7053 0.4106 0.7609  1 Mo 2.44
Mo 0.5000 0.0000 0.0000  2 Cl 2.44
Cl 0.2947 0.5894 0.2391  1 Mo 2.44
K 0.0000 0.0000 0.5000  6 Cl 3.10-3.11

***

Most stable of them? b.